Entry 1:
# BeCr4Cl

Crystalline BeCr4Cl at its relaxed geometry (GGA-PBE, Alexandria).

The structure belongs to space group F-43m (No. 216); the cell edges are 6.747, 6.747 and 6.747 Å and the angles 90.00°, 90.00° and 90.00°. Symmetry generates all atoms from Be at (0.000, 0.000, 0.000), Cr at (0.124, 0.124, 0.624) and Cl at (0.250, 0.250, 0.250).

For the density of states at the Fermi level, the calculation gives 0.914 states/eV per atom. For the uncorrected formation energy, the calculation gives 0.898 eV/atom.



Entry 2:
# BeCrCl2

Crystalline BeCrCl2 at its relaxed geometry (GGA-PBE, Alexandria).

The structure belongs to space group R-3m (No. 166, hexagonal axes); the cell edges are 3.0290, 3.0290 and 23.8051 Å and the angles 90.00°, 90.00° and 120.00°. Symmetry generates all atoms from Be at (0.0000, 0.0000, 0.0000), Cr at (0.0000, 0.0000, 0.5000) and Cl at (0.0000, 0.0000, 0.1004).

For the density of states at the Fermi level, the calculation gives 0.727 states/eV per atom. For the uncorrected formation energy, the calculation gives 0.251 eV/atom.



Entry 3:
# BeCr2Cl

Crystalline BeCr2Cl at its relaxed geometry (GGA-PBE, Alexandria).

The structure belongs to space group F-43m (No. 216); the cell edges are 6.000, 6.000 and 6.000 Å and the angles 90.00°, 90.00° and 90.00°. Symmetry generates all atoms from Be at (0.000, 0.000, 0.000), Cr at (0.000, 0.000, 0.500), Cr at (0.250, 0.250, 0.750) and Cl at (0.250, 0.250, 0.250).

For the density of states at the Fermi level, the calculation gives 0.367 states/eV per atom. For the uncorrected formation energy, the calculation gives 0.860 eV/atom.



Entry 4:
# BeCr2Cl

Crystalline BeCr2Cl at its relaxed geometry (GGA-PBE, Alexandria).

The structure belongs to space group Fm-3m (No. 225); the cell edges are 5.643, 5.643 and 5.643 Å and the angles 90.00°, 90.00° and 90.00°. Symmetry generates all atoms from Be at (0.000, 0.000, 0.000), Cr at (0.250, 0.250, 0.250) and Cl at (0.000, 0.000, 0.500).

For the density of states at the Fermi level, the calculation gives 0.754 states/eV per atom. For the uncorrected formation energy, the calculation gives 0.843 eV/atom.



Entry 5:
# BeCr2Cl

Crystalline BeCr2Cl at its relaxed geometry (GGA-PBE, Alexandria).

The structure belongs to space group Pmmm (No. 47); the cell edges are 2.846, 3.095 and 6.183 Å and the angles 90.00°, 90.00° and 90.00°. Symmetry generates all atoms from Be at (0.000, 0.000, 0.000), Cr at (0.500, 0.500, 0.170) and Cl at (0.000, 0.500, 0.500).

For the density of states at the Fermi level, the calculation gives 1.103 states/eV per atom. For the uncorrected formation energy, the calculation gives 0.320 eV/atom.



Entry 6:
# BeCrCl2

Crystalline BeCrCl2 at its relaxed geometry (GGA-PBE, Alexandria).

The structure belongs to space group P4mm (No. 99); the cell edges are 3.041, 3.041 and 7.906 Å and the angles 90.00°, 90.00° and 90.00°. Symmetry generates all atoms from Be at (0.000, 0.000, 0.000), Cr at (0.500, 0.500, 0.771), Cl at (0.000, 0.000, 0.579) and Cl at (0.500, 0.500, 0.145).

For the density of states at the Fermi level, the calculation gives 0.653 states/eV per atom. For the uncorrected formation energy, the calculation gives -0.062 eV/atom.



Entry 7:
# BeCrCl2

Crystalline BeCrCl2 at its relaxed geometry (GGA-PBE, Alexandria).

The structure belongs to space group Cmmm (No. 65); the cell edges are 3.040, 6.171 and 10.614 Å and the angles 90.00°, 90.00° and 90.00°. Symmetry generates all atoms from Be at (0.000, 0.000, 0.000), Cr at (0.000, 0.000, 0.500) and Cl at (0.000, 0.500, 0.137).

For the density of states at the Fermi level, the calculation gives 0.274 states/eV per atom. For the uncorrected formation energy, the calculation gives -0.061 eV/atom.



Entry 8:
# BeCrCl2

Crystalline BeCrCl2 at its relaxed geometry (GGA-PBE, Alexandria).

The structure belongs to space group R3m (No. 160, hexagonal axes); the cell edges are 3.1104, 3.1104 and 25.4629 Å and the angles 90.00°, 90.00° and 120.00°. Symmetry generates all atoms from Be at (0.0000, 0.0000, 0.0000), Cr at (0.0000, 0.0000, 0.7435), Cl at (0.0000, 0.0000, 0.2845) and Cl at (0.0000, 0.0000, 0.4669).

For the density of states at the Fermi level, the calculation gives 0.227 states/eV per atom. For the uncorrected formation energy, the calculation gives -0.302 eV/atom.



Entry 9:
# BeCr2Cl

Crystalline BeCr2Cl at its relaxed geometry (GGA-PBE, Alexandria).

The structure belongs to space group Pm (No. 6); the cell edges are 2.920, 4.171 and 4.594 Å and the angles 90.00°, 106.40° and 90.00°. Symmetry generates all atoms from Be at (0.000, 0.000, 0.000), Cr at (0.387, 0.500, 0.793), Cr at (0.729, 0.000, 0.481) and Cl at (0.531, 0.500, 0.310).

For the density of states at the Fermi level, the calculation gives 0.523 states/eV per atom. For the uncorrected formation energy, the calculation gives 0.525 eV/atom.



Entry 10:
# BeCrCl2

Crystalline BeCrCl2 at its relaxed geometry (GGA-PBE, Alexandria).

The structure belongs to space group R-3m (No. 166, hexagonal axes); the cell edges are 3.1782, 3.1782 and 30.7362 Å and the angles 90.00°, 90.00° and 120.00°. Symmetry generates all atoms from Be at (0.0000, 0.0000, 0.0000), Cr at (0.0000, 0.0000, 0.5000) and Cl at (0.0000, 0.0000, 0.3747).

For the density of states at the Fermi level, the calculation gives 0.200 states/eV per atom. For the uncorrected formation energy, the calculation gives -0.200 eV/atom.



Entry 11:
# BeCr2Cl

Crystalline BeCr2Cl at its relaxed geometry (GGA-PBE, Alexandria).

The structure belongs to space group Imm2 (No. 44); the cell edges are 2.950, 3.666 and 11.449 Å and the angles 90.00°, 90.00° and 90.00°. Symmetry generates all atoms from Be at (0.000, 0.000, 0.000), Cr at (0.000, 0.000, 0.462), Cr at (0.000, 0.500, 0.133) and Cl at (0.000, 0.500, 0.767).

For the density of states at the Fermi level, the calculation gives 0.378 states/eV per atom. For the uncorrected formation energy, the calculation gives 0.354 eV/atom.



Entry 12:
# BeCrCl

Crystalline BeCrCl at its relaxed geometry (GGA-PBE, Alexandria).

The structure belongs to space group P3m1 (No. 156); the cell edges are 2.9029, 2.9029 and 6.0025 Å and the angles 90.00°, 90.00° and 120.00°. Symmetry generates all atoms from Be at (0.0000, 0.0000, 0.0000), Cr at (0.6667, 0.3333, 0.7251) and Cl at (0.3333, 0.6667, 0.4612).

For the density of states at the Fermi level, the calculation gives 0.573 states/eV per atom. For the uncorrected formation energy, the calculation gives 0.291 eV/atom.



VASP energy values (in eV/atom) by entry order: -6.447 -4.010 -5.345 -5.362 -5.884 -4.323 -4.322 -4.563 -5.680 -4.461 -5.851 -4.774.